SrCa2AcHg4: relaxed, PBE-GGA.

Structure (POSCAR):
```
SrCa2AcHg4
1.0
-2.945 2.218 -4.141
-2.231 -3.274 -3.879
-9.276 -1.098 2.298
Sr Ca Ac Hg
1 2 1 4
Direct
0.500 0.500 0.500
0.752 0.752 0.744
0.248 0.248 0.256
0.000 0.000 0.000
0.376 0.376 0.872
0.875 0.875 0.376
0.125 0.125 0.624
0.624 0.624 0.128
```

## Properties
For the energy of formation from the pure elements, the calculation gives -52 kJ/mol of atoms.